1.
The following is a PBE calculation of Co2SiRh after structural relaxation, from Alexandria via LeMat-Bulk.

a = 4.3214 Å, b = 4.3214 Å, c = 2.6322 Å
α = 90.00°, β = 90.00°, γ = 108.48°
With the nearest neighbours (Å) after each atom.
Positions (direct):
Co  0.0000  0.0000  0.0000  4 Co 2.53-2.63, 4 Rh 2.53, 4 Si 2.53
Co  0.5000  0.5000  0.0000  4 Co 2.53-2.63, 4 Si 2.53, 4 Rh 2.53
Si  0.0000  0.5000  0.5000  2 Rh 2.53, 8 Co 2.53, 2 Si 2.63
Rh  0.5000  0.0000  0.5000  2 Si 2.53, 8 Co 2.53, 2 Rh 2.63

Calculated values
Space group: No. 65
Formation energy (no corrections), eV per formula unit: -0.8

2.
The following is a PBE calculation of TbZn4Pd after structural relaxation, from Alexandria via LeMat-Bulk.

a = 3.9459 Å, b = 6.9392 Å, c = 7.8811 Å
α = 90.00°, β = 90.00°, γ = 90.00°
With the nearest neighbours (Å) after each atom.
Positions (direct):
Zn  0.5000  0.9479  0.7500  2 Pd 2.71, 8 Zn 2.81-2.98, 2 Tb 3.02
Zn  0.5000  0.6918  0.4560  2 Pd 2.64, 4 Zn 2.75-2.93
Zn  0.5000  0.6918  0.0440  2 Pd 2.64, 4 Zn 2.75-2.93
Zn  0.5000  0.0521  0.2500  2 Pd 2.71, 8 Zn 2.81-2.98, 2 Tb 3.02
Zn  0.0000  0.0000  0.0000  2 Pd 2.47
Zn  0.0000  0.0000  0.5000  2 Pd 2.47
Zn  0.5000  0.3082  0.9560  2 Pd 2.64, 4 Zn 2.75-2.93
Zn  0.5000  0.3082  0.5440  2 Pd 2.64, 4 Zn 2.75-2.93
Tb  0.0000  0.6179  0.7500  1 Pd 2.80, 6 Zn 3.02-3.09
Tb  0.0000  0.3821  0.2500  1 Pd 2.80, 6 Zn 3.02-3.09
Pd  0.0000  0.2150  0.7500  8 Zn 2.47-2.71
Pd  0.0000  0.7850  0.2500  8 Zn 2.47-2.71

Calculated values
Space group: No. 51
ΔH_f (0 K), eV/atom: -0.397
ΔE to the lowest computed polymorph, meV per atom: 0

3.
The following is a PBE calculation of Tl2As2Pb after structural relaxation, from Alexandria via LeMat-Bulk.

a = 4.8958 Å, b = 6.1366 Å, c = 6.5325 Å
α = 55.80°, β = 67.93°, γ = 66.19°
With the nearest neighbours (Å) after each atom.
Positions (direct):
Tl  0.7195  0.7534  0.3121  4 As 3.21-3.54, 1 Tl 3.58
Tl  0.2805  0.2466  0.6879  4 As 3.21-3.54, 1 Tl 3.58
Pb  0.5000  0.5000  0.0000  4 As 3.09
As  0.0433  0.1435  0.2741  1 As 2.41
As  0.9567  0.8565  0.7259  1 As 2.41

Calculated values
Space group: No. 2
ΔH_f (0 K), eV/atom: 0.045
ΔE to the lowest computed polymorph, meV per atom: 26

4.
The following is a PBE calculation of Ta3MnH8 after structural relaxation, from Alexandria via LeMat-Bulk.

a = 4.3977 Å, b = 5.4191 Å, c = 4.3977 Å
α = 66.06°, β = 90.00°, γ = 113.94°
With the nearest neighbours (Å) after each atom.
Positions (direct):
H  0.6499  0.7687  0.8812  1 Mn 1.78, 3 Ta 1.94-1.96
H  0.3500  0.2314  0.1187  1 Mn 1.78, 3 Ta 1.95-1.96
H  0.3501  0.2313  0.6499  1 Mn 1.78, 3 Ta 1.94-1.96
H  0.8812  0.2313  0.1188  1 Mn 1.78, 3 Ta 1.94-1.96
H  0.8813  0.2314  0.6500  1 Mn 1.78, 3 Ta 1.95-1.96
H  0.1187  0.7686  0.8813  1 Mn 1.78, 3 Ta 1.95-1.96
H  0.6500  0.7686  0.3500  1 Mn 1.78, 3 Ta 1.95-1.96
H  0.1188  0.7687  0.3501  1 Mn 1.78, 3 Ta 1.94-1.96
Ta  0.5000  0.0000  0.5000  8 H 1.94-1.95
Ta  0.2500  0.5000  0.2500  8 H 1.96
Ta  0.7500  0.5000  0.7500  8 H 1.96
Mn  0.0000  0.0000  0.0000  8 H 1.78

Calculated values
Space group: No. 139
Electronic total energy, eV per atom: -6.044

5.
The following is a PBE calculation of HfPb2Br after structural relaxation, from Alexandria via LeMat-Bulk.

a = 5.3850 Å, b = 5.3850 Å, c = 5.3850 Å
α = 60.00°, β = 60.00°, γ = 60.00°
With the nearest neighbours (Å) after each atom.
Positions (direct):
Br  0.0000  0.0000  0.0000  8 Pb 3.30
Pb  0.2500  0.2500  0.2500  4 Hf 3.30, 4 Br 3.30
Pb  0.7500  0.7500  0.7500  4 Hf 3.30, 4 Br 3.30
Hf  0.5000  0.5000  0.5000  8 Pb 3.30

Calculated values
Space group: No. 225
Formation energy (no corrections), eV per formula unit: 1.6
ΔE to the lowest computed polymorph, meV per atom: 24

6.
The following is a PBE calculation of Sr2YCr2 after structural relaxation, from Alexandria via LeMat-Bulk.

a = 7.7140 Å, b = 7.7140 Å, c = 5.1961 Å
α = 90.00°, β = 90.00°, γ = 90.00°
With the nearest neighbours (Å) after each atom.
Positions (direct):
Sr  0.8156  0.3156  0.5000  6 Cr 3.41-3.64
Sr  0.1844  0.6844  0.5000  6 Cr 3.41-3.64
Sr  0.6844  0.8156  0.5000  6 Cr 3.41-3.64
Sr  0.3156  0.1844  0.5000  6 Cr 3.41-3.64
Cr  0.9178  0.5822  0.0000  1 Cr 1.79
Cr  0.0822  0.4178  0.0000  1 Cr 1.79
Cr  0.5822  0.0822  0.0000  1 Cr 1.79
Cr  0.4178  0.9178  0.0000  1 Cr 1.79
Y  0.5000  0.5000  0.0000  4 Cr 3.28
Y  0.0000  0.0000  0.0000  4 Cr 3.28

Calculated values
Space group: No. 127
ΔH_f (0 K), eV/atom: 0.758
ΔE to the lowest computed polymorph, meV per atom: 0